UNiAgS3 | PBE-GGA | relaxed

Cell and atoms, written as CIF:
```
data_UNiAgS3
_cell_length_a 3.709
_cell_length_b 8.359
_cell_length_c 7.782
_cell_angle_alpha 100.65
_cell_angle_beta 90.00
_cell_angle_gamma 90.00
_space_group_name_H-M_alt 'P 1'
_space_group_IT_number 1
_space_group_name_Hall 'P 1'
loop_
_atom_site_label
_atom_site_type_symbol
_atom_site_fract_x
_atom_site_fract_y
_atom_site_fract_z
_atom_site_occupancy
S1 S 0.750 0.360 0.124 1
S2 S 0.250 0.792 0.495 1
S3 S 0.750 0.925 0.137 1
S4 S 0.250 0.075 0.863 1
S5 S 0.750 0.208 0.505 1
S6 S 0.250 0.640 0.876 1
U1 U 0.250 0.158 0.224 1
U2 U 0.750 0.842 0.776 1
Ni1 Ni 0.250 0.084 0.583 1
Ni2 Ni 0.750 0.916 0.417 1
Ag1 Ag 0.750 0.421 0.784 1
Ag2 Ag 0.250 0.579 0.216 1
```

## Properties
electronic total energy: -6.15 eV/atom
formation energy without anion corrections: -0.762 eV/atom
ρ: 7.0 Mg/m³